Crystalline CsLuMgSe3 at its relaxed geometry. Source: the Open Quantum Materials Database, functional PBE-GGA.

Cell lengths 9.575, 4.225, 10.406 Å; angles 90.00, 111.81, 90.00 degrees
Fractional positions:
Cs1 0.219 0.250 0.241
Cs2 0.781 0.750 0.759
Lu1 0.335 0.750 0.870
Lu2 0.665 0.250 0.130
Mg1 0.086 0.250 0.613
Mg2 0.914 0.750 0.387
Se1 0.131 0.250 0.868
Se2 0.202 0.750 0.551
Se3 0.479 0.750 0.153
Se4 0.521 0.250 0.847
Se5 0.798 0.250 0.449
Se6 0.869 0.750 0.132

Properties
Calculated total energy   -4.452 eV/atom
Total magnetic moment   0.00 μB per formula unit
SG   P2_1/m